The following is a DFT calculation (PBE-GGA) of ScGa3Fe8 after structural relaxation.

Output
Size of the total moment (μB/cell): 14.85
ΔH_f (0 K) (meV/atom): -52

Structure (CIF):
```
data_ScGa3Fe8
_symmetry_space_group_name_H-M 'P 3 m 1'
_symmetry_Int_Tables_number 156
_symmetry_space_group_name_Hall 'P 3 -2"'
_cell_length_a 4.8360
_cell_length_b 4.8360
_cell_length_c 7.7677
_cell_angle_alpha 90.00
_cell_angle_beta 90.00
_cell_angle_gamma 120.00
loop_
_atom_site_label
_atom_site_fract_x
_atom_site_fract_y
_atom_site_fract_z
Sc1 0.0000 0.0000 0.0000
Ga1 0.0000 0.0000 0.3713
Ga2 0.6667 0.3333 0.4975
Ga3 0.6667 0.3333 0.8761
Fe1 0.1641 0.3283 0.6802
Fe2 0.3333 0.6667 0.4329
Fe3 0.3333 0.6667 0.9331
Fe4 0.5026 0.0052 0.1889
```

***

The following is a DFT calculation (PBE-GGA) of Sc2GaFe after structural relaxation.

Output
Size of the total moment (μB/cell): 5.60
ΔH_f (0 K) (meV/atom): 214

Structure (CIF):
```
data_Sc2GaFe
_symmetry_space_group_name_H-M 'R -3 m'
_symmetry_Int_Tables_number 166
_symmetry_space_group_name_Hall '-R 3 2"'
_cell_length_a 3.0523
_cell_length_b 3.0523
_cell_length_c 28.5474
_cell_angle_alpha 90.00
_cell_angle_beta 90.00
_cell_angle_gamma 120.00
loop_
_atom_site_label
_atom_site_fract_x
_atom_site_fract_y
_atom_site_fract_z
Sc1 0.0000 0.0000 0.0874
Ga1 0.0000 0.0000 0.5000
Fe1 0.0000 0.0000 0.0000
```

***

The following is a DFT calculation (PBE-GGA) of ScGa2Fe2 after structural relaxation.

Output
Size of the total moment (μB/cell): 7.97
ΔH_f (0 K) (meV/atom): -282

Structure (CIF):
```
data_ScGa2Fe2
_symmetry_space_group_name_H-M 'I 4/m m m'
_symmetry_Int_Tables_number 139
_symmetry_space_group_name_Hall '-I 4 2'
_cell_length_a 3.680
_cell_length_b 3.680
_cell_length_c 11.389
_cell_angle_alpha 90.00
_cell_angle_beta 90.00
_cell_angle_gamma 90.00
loop_
_atom_site_label
_atom_site_fract_x
_atom_site_fract_y
_atom_site_fract_z
Sc1 0.000 0.000 0.000
Ga1 0.000 0.000 0.391
Fe1 0.000 0.500 0.250
```

***

The following is a DFT calculation (PBE-GGA) of ScGa2Fe2 after structural relaxation.

Output
Size of the total moment (μB/cell): 4.17
ΔH_f (0 K) (meV/atom): -173

Structure (CIF):
```
data_ScGa2Fe2
_symmetry_space_group_name_H-M 'P 4/m b m'
_symmetry_Int_Tables_number 127
_symmetry_space_group_name_Hall '-P 4 2ab'
_cell_length_a 7.115
_cell_length_b 7.115
_cell_length_c 2.830
_cell_angle_alpha 90.00
_cell_angle_beta 90.00
_cell_angle_gamma 90.00
loop_
_atom_site_label
_atom_site_fract_x
_atom_site_fract_y
_atom_site_fract_z
Sc1 0.000 0.000 0.000
Ga1 0.129 0.371 0.000
Fe1 0.168 0.668 0.500
```

***

The following is a DFT calculation (PBE-GGA) of ScGa2Fe after structural relaxation.

Output
Size of the total moment (μB/cell): 8.07
ΔH_f (0 K) (meV/atom): -407

Structure (CIF):
```
data_ScGa2Fe
_symmetry_space_group_name_H-M 'P n m a'
_symmetry_Int_Tables_number 62
_symmetry_space_group_name_Hall '-P 2ac 2n'
_cell_length_a 6.608
_cell_length_b 4.027
_cell_length_c 9.712
_cell_angle_alpha 90.00
_cell_angle_beta 90.00
_cell_angle_gamma 90.00
loop_
_atom_site_label
_atom_site_fract_x
_atom_site_fract_y
_atom_site_fract_z
Sc1 0.226 0.250 0.169
Ga1 0.079 0.250 0.828
Ga2 0.217 0.750 0.963
Fe1 0.046 0.750 0.423
```

***

The following is a DFT calculation (PBE-GGA) of ScGa2Fe after structural relaxation.

Output
Size of the total moment (μB/cell): 5.29
ΔH_f (0 K) (meV/atom): 59

Structure (CIF):
```
data_ScGa2Fe
_symmetry_space_group_name_H-M 'I -4 2 d'
_symmetry_Int_Tables_number 122
_symmetry_space_group_name_Hall 'I -4 2bw'
_cell_length_a 3.863
_cell_length_b 3.863
_cell_length_c 18.782
_cell_angle_alpha 90.00
_cell_angle_beta 90.00
_cell_angle_gamma 90.00
loop_
_atom_site_label
_atom_site_fract_x
_atom_site_fract_y
_atom_site_fract_z
Sc1 0.000 0.000 0.000
Ga1 0.219 0.250 0.625
Fe1 0.000 0.000 0.500
```

***

The following is a DFT calculation (PBE-GGA) of ScGa3Fe after structural relaxation.

Output
Size of the total moment (μB/cell): 5.41
ΔH_f (0 K) (meV/atom): -336

Structure (CIF):
```
data_ScGa3Fe
_symmetry_space_group_name_H-M 'C m c m'
_symmetry_Int_Tables_number 63
_symmetry_space_group_name_Hall '-C 2c 2'
_cell_length_a 5.314
_cell_length_b 11.834
_cell_length_c 5.251
_cell_angle_alpha 90.00
_cell_angle_beta 90.00
_cell_angle_gamma 90.00
loop_
_atom_site_label
_atom_site_fract_x
_atom_site_fract_y
_atom_site_fract_z
Sc1 0.000 0.083 0.250
Ga1 0.000 0.323 0.750
Ga2 0.248 0.137 0.750
Fe1 0.000 0.500 0.000
```

***

The following is a DFT calculation (PBE-GGA) of Sc4Ga2Fe after structural relaxation.

Output
Size of the total moment (μB/cell): 0.00
ΔH_f (0 K) (meV/atom): -93

Structure (CIF):
```
data_Sc4Ga2Fe
_symmetry_space_group_name_H-M 'I 4/m m m'
_symmetry_Int_Tables_number 139
_symmetry_space_group_name_Hall '-I 4 2'
_cell_length_a 4.784
_cell_length_b 4.784
_cell_length_c 13.524
_cell_angle_alpha 90.00
_cell_angle_beta 90.00
_cell_angle_gamma 90.00
loop_
_atom_site_label
_atom_site_fract_x
_atom_site_fract_y
_atom_site_fract_z
Sc1 0.000 0.000 0.178
Sc2 0.000 0.500 0.000
Ga1 0.000 0.000 0.381
Fe1 0.000 0.000 0.000
```